The following is a DFT calculation (PBE) of a geometry-optimized AcTbCdRh structure.

## Properties
- Density of states at the Fermi level: 0.57 states/eV per atom
- Total magnetization: 0.00 μB/cell
- ρ: 9.47 Mg/m³
- Uncorrected energy: -4.630 eV/atom
- Symmetry: F-43m
- V: 26.35 Å³ per atom

The structure in POSCAR format:
```
AcTbCdRh
1.0
-2.099 4.851 0.425
-3.793 0.943 3.584
1.056 2.982 4.256
Tb Cd Rh Ac
1 1 1 1
Direct
0.500 0.500 0.500
0.250 0.250 0.250
0.750 0.750 0.750
0.000 0.000 0.000
```